This record from the Open Quantum Materials Database describes ZnRe after structural relaxation. The functional is PBE.

POSCAR file:
```
ZnRe
1.0
4.108 0.000 0.000
-2.054 3.558 0.000
0.000 0.000 4.842
Re Zn
2 2
Direct
0.000 0.000 0.000
0.000 0.000 0.500
0.667 0.333 0.250
0.333 0.667 0.750
```

Computed properties:
**Mass density**: 11.81 g/cm3
**Polymorph energy (0 for the lowest one)**: 1042 meV/atom
**E**: -5.694 eV/atom
**Space group**: P6_3/mmc